Entry from Alexandria: Ca2ZrCd after structural relaxation (PBE-GGA).

Values from the calculation:
Its volume is 29.2 A^3/atom. For the energy of formation, the calculation gives 0.69 eV/f.u. As for the density of states at the Fermi level: 1.37 states/eV/atom. The space group is R-3m (166).

Cell and atoms, written as POSCAR:
```
Ca2ZrCd
1.0
1.7379 1.0034 11.1571
-1.7379 1.0034 11.1571
0.0000 -2.0067 11.1571
Ca Zr Cd
2 1 1
Cartesian
0.0000 0.0000 8.3319
0.0000 0.0000 25.1396
0.0000 0.0000 0.0000
0.0000 0.0000 16.7357
```


Entry from Alexandria: TaHg3N after structural relaxation (PBE-GGA).

Values from the calculation:
Its volume is 19.6 A^3/atom. The calculation puts the uncorrected formation energy at 1490 meV per atom. As for the density of states at the Fermi level: 0.99 states/eV/atom. The space group is Pm-3m (221).

Cell and atoms, written as POSCAR:
```
TaHg3N
1.0
4.6121 0.0000 0.0000
0.0000 4.6121 0.0000
0.0000 0.0000 4.6121
Ta Hg N
1 3 1
Cartesian
0.0000 0.0000 0.0000
0.0000 2.3060 2.3060
2.3060 0.0000 2.3060
2.3060 2.3060 0.0000
2.3060 2.3060 2.3060
```


Entry from Alexandria: TmNi2H8 after structural relaxation (PBE-GGA).

Values from the calculation:
Its total energy is -4.040 eV/atom. Its volume is 7.5 A^3/atom. As for the density of states at the Fermi level: 0.20 states/eV/atom. The space group is C2/m (12).

Cell and atoms, written as POSCAR:
```
TmNi2H8
1.0
3.8844 -3.4541 0.0000
3.8844 3.4541 0.0000
-1.5174 0.0000 3.0890
Tm Ni H
1 2 8
Cartesian
0.0000 0.0000 0.0000
3.1257 1.2433 1.5445
3.1257 -1.2433 1.5445
2.1679 2.3613 1.0700
4.0835 2.3613 2.0189
3.8844 1.2365 0.0000
2.1680 0.0000 1.0605
4.0835 0.0000 2.0284
3.8844 -1.2365 0.0000
2.1679 -2.3613 1.0700
4.0835 -2.3613 2.0189
```


Number 1: magnetization 0.269 μB/atom. Number 2: magnetization 0.000 μB/atom. Number 3: magnetization 0.000 μB/atom.